# 1
# Zr6OsPd3 PBE relaxed
# Formation enthalpy at 0 K   -0.344 eV per atom
# Electronic total energy   -8.153 eV/atom
# Spin magnetization   0.0 μB per formula unit
data_Zr6OsPd3
_symmetry_space_group_name_H-M 'P n n m'
_symmetry_Int_Tables_number 58
_cell_length_a 7.9722
_cell_length_b 10.9233
_cell_length_c 4.7117
_cell_angle_alpha 90.00
_cell_angle_beta 90.00
_cell_angle_gamma 90.00
loop_
_symmetry_equiv_pos_as_xyz
'x,y,z'
'-x,-y,-z'
'-x,-y,z'
'x,y,-z'
'x+1/2,-y+1/2,-z+1/2'
'-x+1/2,y+1/2,z+1/2'
'-x+1/2,y+1/2,-z+1/2'
'x+1/2,-y+1/2,z+1/2'
loop_
_atom_site_label
_atom_site_type_symbol
_atom_site_fract_x
_atom_site_fract_y
_atom_site_fract_z
Zr1 Zr 0.0016 0.2496 0.0000
Zr2 Zr 0.1497 0.0904 0.5000
Zr3 Zr 0.1831 0.4133 0.5000
Os1 Os 0.0000 0.0000 0.0000
Pd1 Pd 0.0000 0.5000 0.0000
Pd2 Pd 0.1620 0.6911 0.5000

# 2
# K2CrRu PBE relaxed
# Energy above the most stable polymorph in this dataset   66.8 kJ per mole of atoms
# Formation enthalpy at 0 K   1.378 eV per atom
# Electronic total energy   -3.896 eV/atom
# Spin magnetization   6.5 μB per formula unit
data_K2CrRu
_symmetry_space_group_name_H-M 'P 4/m m m'
_symmetry_Int_Tables_number 123
_symmetry_space_group_name_Hall '-P 4 2'
_cell_length_a 3.0554
_cell_length_b 3.0554
_cell_length_c 11.2732
_cell_angle_alpha 90.00
_cell_angle_beta 90.00
_cell_angle_gamma 90.00
loop_
_atom_site_label
_atom_site_type_symbol
_atom_site_fract_x
_atom_site_fract_y
_atom_site_fract_z
K1 K 0.0000 0.0000 0.2285
Cr1 Cr 0.5000 0.5000 0.5000
Ru1 Ru 0.5000 0.5000 0.0000

# 3
# Ti2HgPt2 PBE relaxed
# Energy above the most stable polymorph in this dataset   0.0 kJ per mole of atoms
# Formation enthalpy at 0 K   -0.687 eV per atom
# Electronic total energy   -6.322 eV/atom
# Spin magnetization   0.5 μB per formula unit
data_Ti2HgPt2
_symmetry_space_group_name_H-M 'P 4/m b m'
_symmetry_Int_Tables_number 127
_symmetry_space_group_name_Hall '-P 4 2ab'
_cell_length_a 7.6960
_cell_length_b 7.6960
_cell_length_c 2.8964
_cell_angle_alpha 90.00
_cell_angle_beta 90.00
_cell_angle_gamma 90.00
loop_
_atom_site_label
_atom_site_type_symbol
_atom_site_fract_x
_atom_site_fract_y
_atom_site_fract_z
Ti1 Ti 0.1654 0.3346 0.0000
Hg1 Hg 0.0000 0.0000 0.5000
Pt1 Pt 0.1296 0.6296 0.5000